Fe2GeO5: relaxed, PBE with a Hubbard U.

Structure (extended XYZ):
```
8
Lattice="4.023 -3.387 0.000 4.023 3.387 0.000 -2.638 0.000 4.238" Properties=species:S:1:pos:R:3 pbc="T T T"
Fe 4.023 1.883 0.000
Fe 4.023 -1.883 0.000
Ge 5.879 0.000 1.131
O -0.243 0.000 1.279
O 6.017 1.570 0.215
O 4.062 0.000 0.563
O 5.525 0.000 2.903
O 6.017 -1.570 0.215
```

Output
Calculated total energy ... -51.5 eV/cell
SG ... No. 8